No. 1
Computed, not measured: Fe2Tc2Rh after structural relaxation at the PBE level of DFT.

Computed properties:
- DFT formation energy (eV per atom) = 0.09

Unit cell a=6.9126 b=6.9126 c=2.7185 alpha=90.00 beta=90.00 gamma=90.00
Atoms (fractional coordinates):
Rh 0.0000 0.0000 0.0000
Rh 0.5000 0.5000 0.0000
Tc 0.1720 0.6720 0.5000
Tc 0.6720 0.8280 0.5000
Tc 0.8280 0.3280 0.5000
Tc 0.3280 0.1720 0.5000
Fe 0.3762 0.8762 0.0000
Fe 0.8762 0.6238 0.0000
Fe 0.6238 0.1238 0.0000
Fe 0.1238 0.3762 0.0000

No. 2
Computed, not measured: HfZnTeN2 after structural relaxation at the PBE level of DFT.

Computed properties:
- formation energy (no corrections) (eV/atom) = 0.268

Unit cell a=4.0934 b=4.0934 c=6.1225 alpha=90.00 beta=90.00 gamma=90.00
Last column: magnetic moment on the atom in μB.
Atoms (fractional coordinates):
Zn 0.5000 0.5000 0.5000  0.00
Te 0.0000 0.0000 0.5000  0.00
Hf 0.0000 0.0000 0.0000  -0.02
N 0.0000 0.5000 0.0000  0.07
N 0.5000 0.0000 0.0000  0.07

No. 3
Computed, not measured: K2ScAu after structural relaxation at the PBE level of DFT.

Computed properties:
- DFT formation energy (eV per atom) = 0.27

Unit cell a=6.8639 b=6.8639 c=6.8639 alpha=142.41 beta=142.41 gamma=54.21
Last column: magnetic moment on the atom in μB.
Atoms (fractional coordinates):
Au 0.7500 0.2500 0.5000  0.00
K 0.0000 0.0000 0.0000  0.02
K 0.5000 0.5000 0.0000  0.02
Sc 0.2500 0.7500 0.5000  0.43

No. 4
Computed, not measured: LiCu3As3 after structural relaxation at the PBE level of DFT.

Computed properties:
- DFT formation energy (eV per atom) = 0.13

Unit cell a=6.6890 b=6.6890 c=6.6890 alpha=90.00 beta=90.00 gamma=90.00
Atoms (fractional coordinates):
As 0.0000 0.2500 0.5000
As 0.0000 0.7500 0.5000
As 0.5000 0.0000 0.7500
As 0.7500 0.5000 0.0000
As 0.5000 0.0000 0.2500
As 0.2500 0.5000 0.0000
Cu 0.2500 0.0000 0.5000
Cu 0.0000 0.5000 0.2500
Cu 0.5000 0.7500 0.0000
Cu 0.7500 0.0000 0.5000
Cu 0.0000 0.5000 0.7500
Cu 0.5000 0.2500 0.0000
Li 0.5000 0.5000 0.5000
Li 0.0000 0.0000 0.0000

No. 5
Computed, not measured: Ba2YRh after structural relaxation at the PBE level of DFT.

Computed properties:
- DFT formation energy (eV per atom) = -0.18

Unit cell a=3.7408 b=3.7408 c=10.5732 alpha=90.00 beta=90.00 gamma=89.99
Atoms (fractional coordinates):
Ba 0.0000 0.0000 0.9632
Ba 0.5000 0.5000 0.3329
Rh 0.0000 0.0000 0.5442
Y 0.5000 0.5000 0.6597

No. 6
Computed, not measured: RbNdSc4S8 after structural relaxation at the PBE level of DFT.

Computed properties:
- formation energy (no corrections) (eV/atom) = -1.725

Unit cell a=7.8219 b=7.8219 c=8.1841 alpha=61.45 beta=61.45 gamma=60.00
Atoms (fractional coordinates):
Rb 0.3618 0.3618 0.9145
Nd 0.0049 0.0049 0.9853
Sc 0.6267 0.6267 0.1200
Sc 0.0036 0.4846 0.5082
Sc 0.4846 0.0036 0.5082
Sc 0.0036 0.0036 0.5082
S 0.2471 0.8023 0.7035
S 0.8023 0.2471 0.7035
S 0.2471 0.2471 0.7035
S 0.2241 0.2241 0.3276
S 0.7492 0.2392 0.2624
S 0.2392 0.7492 0.2624
S 0.7492 0.7492 0.2624
S 0.7566 0.7566 0.7303

No. 7
Computed, not measured: CsRbCr2I8 after structural relaxation at the PBE level of DFT.

Computed properties:
- formation energy (no corrections) (eV/atom) = -0.649

Unit cell a=7.8835 b=7.8835 c=12.0673 alpha=70.93 beta=70.93 gamma=60.00
Last column: magnetic moment on the atom in μB.
Atoms (fractional coordinates):
Cs 0.5000 0.5000 0.5000  0.00
Rb 0.0000 0.0000 0.0000  0.00
Cr 0.2435 0.2435 0.2694  2.98
Cr 0.7565 0.7565 0.7306  2.98
I 0.1670 0.1670 0.4990  -0.06
I 0.5415 0.3331 0.1983  -0.06
I 0.8330 0.8330 0.5010  -0.06
I 0.9272 0.5415 0.1983  -0.06
I 0.0728 0.4585 0.8017  -0.06
I 0.3331 0.9272 0.1983  -0.06
I 0.6669 0.0728 0.8017  -0.06
I 0.4585 0.6669 0.8017  -0.06

No. 8
Computed, not measured: TcHg3 after structural relaxation at the PBE level of DFT.

Computed properties:
- DFT formation energy (eV per atom) = 0.54

Unit cell a=2.9969 b=2.9969 c=9.3710 alpha=90.00 beta=90.00 gamma=90.00
Last column: magnetic moment on the atom in μB.
Atoms (fractional coordinates):
Hg 0.0000 0.0000 0.9648  0.01
Hg 0.0000 0.0000 0.5352  0.01
Hg 0.5000 0.5000 0.2500  0.01
Tc 0.5000 0.5000 0.7500  1.34

No. 9
Computed, not measured: Li5Hf3O8 after structural relaxation at the PBE level of DFT.

Computed properties:
- formation energy (no corrections) (eV/atom) = -2.692

Unit cell a=6.2161 b=6.2161 c=6.1418 alpha=59.60 beta=59.60 gamma=60.00
Atoms (fractional coordinates):
Li 0.5000 0.0000 0.0000
Li 0.5000 0.5000 0.0000
Li 0.0000 0.0000 0.0000
Li 0.0000 0.5000 0.0000
Li 0.5000 0.5000 0.5000
Hf 0.5000 0.0000 0.5000
Hf 0.0000 0.0000 0.5000
Hf 0.0000 0.5000 0.5000
O 0.2486 0.2486 0.7332
O 0.2486 0.7696 0.7332
O 0.7696 0.2486 0.7332
O 0.7533 0.7533 0.7402
O 0.7514 0.7514 0.2668
O 0.7514 0.2304 0.2668
O 0.2304 0.7514 0.2668
O 0.2467 0.2467 0.2598

No. 10
Computed, not measured: CeRe6 after structural relaxation at the PBE level of DFT.

Computed properties:
- DFT formation energy (eV per atom) = 1.01

Unit cell a=5.9916 b=5.9916 c=5.9916 alpha=109.47 beta=109.47 gamma=109.47
Last column: magnetic moment on the atom in μB.
Atoms (fractional coordinates):
Ce 0.0000 0.0000 0.0000  1.02
Re 0.2500 0.7500 0.5000  0.00
Re 0.5000 0.7500 0.2500  0.00
Re 0.2500 0.5000 0.7500  0.00
Re 0.7500 0.2500 0.5000  0.00
Re 0.5000 0.2500 0.7500  0.00
Re 0.7500 0.5000 0.2500  0.00

No. 11
Computed, not measured: TaNiW2 after structural relaxation at the PBE level of DFT.

Computed properties:
- DFT formation energy (eV per atom) = 0.12

Unit cell a=5.0532 b=5.0532 c=5.0532 alpha=141.58 beta=127.98 gamma=66.49
Atoms (fractional coordinates):
Ni 0.5025 0.5025 0.0000
Ta 0.2507 0.7507 0.5000
W 0.9950 0.9950 0.0000
W 0.7519 0.2519 0.5000

No. 12
Computed, not measured: Ce2Pm3Ru4 after structural relaxation at the PBE level of DFT.

Computed properties:
- DFT formation energy (eV per atom) = -0.28

Unit cell a=6.2797 b=8.8619 c=8.8619 alpha=59.03 beta=98.82 gamma=98.82
Atoms (fractional coordinates):
Ce 0.3282 0.8072 0.5886
Ce 0.1718 0.4114 0.1928
Ce 0.6718 0.1928 0.4114
Ce 0.8282 0.5886 0.8072
Pm 0.0159 0.9970 0.8081
Pm 0.4841 0.1919 0.0030
Pm 0.9841 0.0030 0.1919
Pm 0.5159 0.8081 0.9970
Pm 0.2500 0.4323 0.5677
Pm 0.7500 0.5677 0.4323
Ru 0.5594 0.1632 0.6967
Ru 0.9406 0.3033 0.8368
Ru 0.4406 0.8368 0.3033
Ru 0.0594 0.6967 0.1632
Ru 0.8204 0.8585 0.5386
Ru 0.6796 0.4614 0.1415
Ru 0.1796 0.1415 0.4614
Ru 0.3204 0.5386 0.8585